No. 1
Computed, not measured: a relaxed structure of Sb2As2Rh at the PBE-GGA level of DFT.

Results
Space group: P4/mbm, No. 127
Spin magnetization in μB per formula unit: 0.00
Formation energy (no corrections) in eV per formula unit: 1.69

Unit cell a=7.336 b=7.336 c=4.228 alpha=90.00 beta=90.00 gamma=90.00
Positions (direct):
Sb 0.843 0.657 0.000
Sb 0.657 0.157 0.000
Rh 0.500 0.500 0.000
As 0.816 0.316 0.500
Sb 0.157 0.343 0.000
As 0.316 0.184 0.500
Rh 0.000 0.000 0.000
As 0.184 0.684 0.500
As 0.684 0.816 0.500
Sb 0.343 0.843 0.000

No. 2
Computed, not measured: a relaxed structure of Er5Bi4H at the PBE-GGA level of DFT.

Results
Space group: I4, No. 79
DFT total energy in eV/atom: -4.72
Spin magnetization in μB per formula unit: 0.00

Unit cell a=6.245 b=7.527 c=7.527 alpha=80.09 beta=65.49 gamma=65.49
Positions (direct):
Bi 0.805 0.799 0.607
Er 0.397 0.000 0.000
Er 0.109 0.604 0.195
Er 0.713 0.195 0.396
Bi 0.413 0.393 0.799
Er 0.908 0.396 0.805
Bi 0.211 0.201 0.393
Bi 0.604 0.607 0.201
Er 0.304 0.805 0.604
H 0.047 0.000 0.000

No. 3
Computed, not measured: a relaxed structure of La4HoEr2 at the PBE-GGA level of DFT.

Results
Space group: Imma, No. 74
DFT total energy in eV/atom: -4.54
Spin magnetization in μB per formula unit: 0.00

Unit cell a=6.959 b=9.070 c=9.070 alpha=79.26 beta=67.44 gamma=67.44
Positions (direct):
La 0.774 0.758 0.258
Er 0.500 0.000 0.000
La 0.210 0.758 0.258
Er 0.714 0.036 0.536
La 0.846 0.653 0.656
Er 0.500 0.500 0.500
La 0.154 0.347 0.344
Er 0.286 0.964 0.464
La 0.846 0.156 0.153
Ho 0.000 0.500 0.000
La 0.790 0.242 0.742
Ho 0.500 0.500 0.000
La 0.226 0.242 0.742
La 0.154 0.844 0.847

No. 4
Computed, not measured: a relaxed structure of Ti2VNi2 at the PBE-GGA level of DFT.

Results
Space group: P4/mbm, No. 127
DFT total energy in eV/atom: -7.48
Spin magnetization in μB per formula unit: 1.09

Unit cell a=6.949 b=6.949 c=2.892 alpha=90.00 beta=90.00 gamma=90.00
Positions (direct):
V 0.000 0.000 0.000
Ni 0.373 0.873 0.000
Ni 0.873 0.627 0.000
V 0.500 0.500 0.000
Ni 0.627 0.127 0.000
Ti 0.172 0.672 0.500
Ti 0.328 0.172 0.500
Ni 0.127 0.373 0.000
Ti 0.828 0.328 0.500
Ti 0.672 0.828 0.500